Entry 1:
First-principles (PBE) data for a relaxed BaTbGd crystal, as listed in the Alexandria database.

Calculated values
ΔE to the lowest computed polymorph, meV/atom: 13
ΔH_f (0 K), eV/atom: 0.176
Magnetic moment, μB per formula unit: 7.57
E_tot, eV per atom: -6.7019
V, Å³/f.u.: 116.2

Unit cell a=3.784 b=3.784 c=9.372 alpha=90.00 beta=90.00 gamma=120.00
Site moments in Bohr magnetons follow the coordinates.
Atoms (fractional coordinates):
Gd 0.333 0.667 0.644  -7.26
Ba 0.000 0.000 0.002  0.02
Tb 0.667 0.333 0.354  0.01

Entry 2:
First-principles (PBE) data for a relaxed Li4Pm3HfSe8 crystal, as listed in the Alexandria database.

Calculated values
Magnetic moment, μB per formula unit: 0.00
E_tot, eV per atom: -5.2850
Formation energy without anion corrections, eV per atom: -1.551
V, Å³/f.u.: 373.8

Unit cell a=8.129 b=8.045 c=8.129 alpha=120.36 beta=120.00 gamma=90.00
Atoms (fractional coordinates):
Se 0.760 0.247 0.987
Se 0.755 0.766 0.511
Se 0.773 0.753 0.013
Se 0.240 0.753 0.481
Se 0.227 0.247 0.987
Se 0.760 0.247 0.519
Se 0.240 0.753 0.013
Se 0.245 0.234 0.489
Pm 0.000 0.500 0.500
Pm 0.500 0.500 0.000
Pm 0.500 0.500 0.500
Li 0.500 0.000 0.000
Li 0.500 0.000 0.500
Li 0.000 0.000 0.000
Li 0.000 0.000 0.500
Hf 0.000 0.500 0.000

Entry 3:
First-principles (PBE) data for a relaxed PaAsPd2 crystal, as listed in the Alexandria database.

Calculated values
ΔE to the lowest computed polymorph, meV/atom: 16
ΔH_f (0 K), eV/atom: -0.560
Magnetic moment, μB per formula unit: 0.00
E_tot, eV per atom: -6.6925
V, Å³/f.u.: 76.4

Unit cell a=4.653 b=4.053 c=4.053 alpha=90.00 beta=90.00 gamma=90.00
Atoms (fractional coordinates):
Pa 0.500 0.500 0.500
Pd 0.000 0.000 0.500
Pd 0.000 0.500 0.000
As 0.500 0.000 0.000

Entry 4:
First-principles (PBE) data for a relaxed ReTcSb2 crystal, as listed in the Alexandria database.

Calculated values
ΔE to the lowest computed polymorph, meV/atom: 211
Magnetic moment, μB per formula unit: 0.00
E_tot, eV per atom: -7.4137
Formation energy without anion corrections, eV per atom: 0.351
V, Å³/f.u.: 72.2

Unit cell a=5.026 b=5.026 c=4.908 alpha=72.58 beta=72.58 gamma=37.89
Atoms (fractional coordinates):
Re 0.758 0.758 0.822
Tc 0.492 0.492 0.427
Sb 0.013 0.013 0.941
Sb 0.237 0.237 0.310

Entry 5:
First-principles (PBE) data for a relaxed LiHfMgOs crystal, as listed in the Alexandria database.

Calculated values
ΔH_f (0 K), eV/atom: -0.133
Magnetic moment, μB per formula unit: 0.00
E_tot, eV per atom: -6.3055
V, Å³/f.u.: 66.9

Unit cell a=4.557 b=4.557 c=4.557 alpha=60.00 beta=60.00 gamma=60.00
Atoms (fractional coordinates):
Os 0.500 0.500 0.500
Mg 0.750 0.750 0.750
Hf 0.250 0.250 0.250
Li 0.000 0.000 0.000

Entry 6:
First-principles (PBE) data for a relaxed CdNiHg crystal, as listed in the Alexandria database.

Calculated values
ΔE to the lowest computed polymorph, meV/atom: 0
ΔH_f (0 K), eV/atom: 0.102
Magnetic moment, μB per formula unit: 0.00
E_tot, eV per atom: -2.2303
V, Å³/f.u.: 57.8

Unit cell a=4.252 b=5.726 c=9.497 alpha=90.00 beta=90.00 gamma=90.00
Atoms (fractional coordinates):
Hg 0.250 0.144 0.788
Hg 0.750 0.856 0.212
Hg 0.250 0.356 0.288
Hg 0.750 0.644 0.712
Ni 0.750 0.576 0.438
Ni 0.750 0.924 0.938
Ni 0.250 0.076 0.062
Ni 0.250 0.424 0.562
Cd 0.750 0.354 0.057
Cd 0.250 0.854 0.443
Cd 0.750 0.146 0.557
Cd 0.250 0.646 0.943

Entry 7:
First-principles (PBE) data for a relaxed KHgAs crystal, as listed in the Alexandria database.

Calculated values
ΔH_f (0 K), eV/atom: -0.006
Magnetic moment, μB per formula unit: 0.00
E_tot, eV per atom: -2.0221
V, Å³/f.u.: 82.2

Unit cell a=5.785 b=5.785 c=5.785 alpha=149.64 beta=121.79 gamma=67.06
Atoms (fractional coordinates):
Hg 0.320 0.320 0.000
K 0.663 0.663 0.000
As 0.017 0.017 0.000

Entry 8:
First-principles (PBE) data for a relaxed Eu2CN2O2 crystal, as listed in the Alexandria database.

Calculated values
Magnetic moment, μB per formula unit: 12.00
E_tot, eV per atom: -9.6492
Formation energy without anion corrections, eV per atom: -1.601
V, Å³/f.u.: 108.2

Unit cell a=3.862 b=3.862 c=8.375 alpha=90.00 beta=90.00 gamma=120.00
Site moments in Bohr magnetons follow the coordinates.
Atoms (fractional coordinates):
O 0.667 0.333 0.104  -0.21
O 0.333 0.667 0.896  -0.21
N 0.000 0.000 0.352  -0.12
N 0.000 0.000 0.648  -0.12
C 0.000 0.000 0.500  0.02
Eu 0.667 0.333 0.821  6.31
Eu 0.333 0.667 0.179  6.31